Entry 1:
Ac2La2Nd4Sm: optimized geometry, PBE-GGA.

Lattice parameters (Å, degrees): 9.9895 9.9895 10.1073 115.25 115.25 21.97
With the nearest neighbours (Å) after each atom.
Fractional coordinates of all 9 atoms:
Ac1 0.1454 0.1454 0.1642  7 Nd 3.75-3.83, 3 La 3.78-3.79, 2 Ac 3.81
Ac2 0.8546 0.8546 0.8358  7 Nd 3.75-3.83, 3 La 3.78-3.79, 2 Ac 3.81
La1 0.3349 0.3349 0.4970  3 Nd 3.67-3.71, 2 Sm 3.74, 3 Ac 3.78-3.79, 4 La 3.81-3.86
La2 0.6651 0.6651 0.5030  3 Nd 3.67-3.71, 2 Sm 3.74, 3 Ac 3.78-3.79, 4 La 3.81-3.86
Nd1 0.1844 0.1844 0.8325  2 La 3.71, 1 Sm 3.72, 6 Nd 3.73-3.81, 3 Ac 3.75-3.83
Nd2 0.4815 0.4815 0.1791  2 Sm 3.64, 1 La 3.67, 5 Nd 3.73-3.99, 4 Ac 3.79
Nd3 0.5185 0.5185 0.8209  2 Sm 3.64, 1 La 3.67, 5 Nd 3.73-3.99, 4 Ac 3.79
Nd4 0.8156 0.8156 0.1675  2 La 3.71, 1 Sm 3.72, 6 Nd 3.73-3.81, 3 Ac 3.75-3.83
Sm1 0.0000 0.0000 0.5000  6 Nd 3.64-3.72, 4 La 3.74, 2 Sm 3.81

Properties
The space-group type is No. 12. The magnetic moment comes out at 0.000 μB per formula unit. The formation energy from the elements is 0.023 eV/atom. Its total energy is -4.629 eV per atom.

Entry 2:
DyYTm: optimized geometry, PBE-GGA.

Lattice parameters (Å, degrees): 5.5691 5.5691 3.4904 90.00 90.00 120.00
With the nearest neighbours (Å) after each atom.
Fractional coordinates of all 3 atoms:
Dy1 0.0000 0.0000 0.0000  3 Tm 3.22, 2 Dy 3.49
Y1 0.3333 0.6667 0.5000  2 Y 3.49, 6 Dy 3.66, 6 Tm 3.66
Tm1 0.6667 0.3333 0.0000  3 Dy 3.22, 2 Tm 3.49

Properties
The space-group type is No. 187. The magnetic moment comes out at 0.002 μB per formula unit. The formation energy from the elements is 0.071 eV/atom. Its total energy is -5.108 eV per atom. For the energy above the most stable polymorph in this dataset, the calculation gives 0.14 eV per formula unit.

Entry 3:
ScHg: optimized geometry, PBE-GGA.

Lattice parameters (Å, degrees): 5.7187 5.7187 5.7187 136.28 136.28 63.55
With the nearest neighbours (Å) after each atom.
Fractional coordinates of all 4 atoms:
Sc1 0.3750 0.6250 0.7500  8 Hg 3.01-3.23, 4 Sc 3.23
Sc2 0.6250 0.3750 0.2500  8 Hg 3.01-3.23, 4 Sc 3.23
Hg1 0.1250 0.8750 0.2500  8 Sc 3.01-3.23, 4 Hg 3.23
Hg2 0.8750 0.1250 0.7500  8 Sc 3.01-3.23, 4 Hg 3.23

Properties
The space-group type is No. 141. The magnetic moment comes out at 0.008 μB per formula unit. The formation energy from the elements is -0.259 eV/atom. Its total energy is -3.576 eV per atom.

Entry 4:
PbAuF3: optimized geometry, PBE-GGA.

Lattice parameters (Å, degrees): 4.6933 4.6933 4.6933 90.00 90.00 90.00
With the nearest neighbours (Å) after each atom.
Fractional coordinates of all 5 atoms:
Pb1 0.0000 0.0000 0.0000  6 F 2.35
Au1 0.5000 0.5000 0.5000  12 F 3.32
F1 0.0000 0.0000 0.5000  2 Pb 2.35
F2 0.0000 0.5000 0.0000  2 Pb 2.35
F3 0.5000 0.0000 0.0000  2 Pb 2.35

Properties
The space-group type is No. 221. The calculation puts the energy relative to the elements, uncorrected at -1.243 eV/atom. The magnetic moment comes out at 0.000 μB per formula unit. Its total energy is -3.763 eV per atom. For the energy above the most stable polymorph in this dataset, the calculation gives 0.00 eV per formula unit.

Entry 5:
MnCoGe: optimized geometry, PBE-GGA.

Lattice parameters (Å, degrees): 3.9977 3.9977 2.8294 90.00 90.00 120.00
With the nearest neighbours (Å) after each atom.
Fractional coordinates of all 3 atoms:
Mn1 0.0000 0.0000 0.0000  6 Ge 2.71, 6 Co 2.71, 2 Mn 2.83
Co1 0.6667 0.3333 0.5010  3 Ge 2.31
Ge1 0.3333 0.6667 0.4989  3 Co 2.31

Properties
The space-group type is No. 156. The magnetic moment comes out at 3.995 μB per formula unit. The formation energy from the elements is -0.102 eV/atom. Its total energy is -7.066 eV per atom.

Entry 6:
SbPRu: optimized geometry, PBE-GGA.

Lattice parameters (Å, degrees): 4.3039 4.3039 4.3039 60.00 60.00 60.00
With the nearest neighbours (Å) after each atom.
Fractional coordinates of all 3 atoms:
Sb1 0.0000 0.0000 0.0000  4 Ru 2.64
P1 0.5000 0.5000 0.5000  4 Ru 2.64
Ru1 0.7500 0.7500 0.7500  4 Sb 2.64, 4 P 2.64

Properties
The space-group type is No. 216. The calculation puts the energy relative to the elements, uncorrected at -0.015 eV/atom. The magnetic moment comes out at 0.000 μB per formula unit. Its total energy is -6.285 eV per atom. For the energy above the most stable polymorph in this dataset, the calculation gives 1.00 eV per formula unit.

Entry 7:
GaNiOs: optimized geometry, PBE-GGA.

Lattice parameters (Å, degrees): 2.7372 4.0133 7.3470 90.00 90.00 90.00
With the nearest neighbours (Å) after each atom.
Fractional coordinates of all 6 atoms:
Ga1 0.0000 0.0000 0.0000  6 Ni 2.49-2.55, 2 Os 2.68, 2 Ga 2.74
Ga2 0.0000 0.5000 0.3873  6 Ni 2.53-2.67, 1 Os 2.72, 2 Ga 2.74
Ni1 0.5000 0.0000 0.2922  1 Os 2.44, 6 Ga 2.53-2.55, 2 Ni 2.56
Ni2 0.5000 0.5000 0.0753  6 Ga 2.49-2.67, 4 Ni 2.56-2.74, 2 Os 2.71
Os1 0.0000 0.5000 0.7576  6 Os 2.62-2.74, 3 Ga 2.68-2.72, 2 Ni 2.71
Os2 0.5000 0.0000 0.6242  1 Ni 2.44, 4 Os 2.62

Properties
The space-group type is No. 25. The magnetic moment comes out at 0.000 μB per formula unit. The formation energy from the elements is -0.052 eV/atom. Its total energy is -6.731 eV per atom.

Entry 8:
La2Dy3Y6Mg: optimized geometry, PBE-GGA.

Lattice parameters (Å, degrees): 6.1817 6.1817 11.8431 95.03 95.03 120.04
With the nearest neighbours (Å) after each atom.
Fractional coordinates of all 12 atoms:
La1 0.1669 0.8331 0.0000  3 La 3.57, 3 Mg 3.57, 6 Y 3.60-3.61
La2 0.8331 0.1669 0.0000  3 La 3.57, 3 Mg 3.57, 6 Y 3.60-3.61
Dy1 0.0000 0.0000 0.5000  6 Y 3.54-3.55, 6 Dy 3.56-3.58
Dy2 0.3345 0.6655 0.5000  6 Y 3.53-3.56, 6 Dy 3.55-3.58
Dy3 0.6655 0.3345 0.5000  6 Y 3.53-3.56, 6 Dy 3.55-3.58
Y1 0.0863 0.4163 0.7475  6 Y 3.53-3.59, 3 Dy 3.54-3.56, 1 Mg 3.58, 2 La 3.60
Y2 0.2533 0.2533 0.2533  3 Dy 3.53-3.55, 6 Y 3.54-3.59, 1 Mg 3.60, 2 La 3.61
Y3 0.4163 0.0863 0.7475  6 Y 3.53-3.59, 3 Dy 3.54-3.56, 1 Mg 3.58, 2 La 3.60
Y4 0.5837 0.9137 0.2525  6 Y 3.53-3.59, 3 Dy 3.54-3.56, 1 Mg 3.58, 2 La 3.60
Y5 0.7467 0.7467 0.7467  3 Dy 3.53-3.55, 6 Y 3.54-3.59, 1 Mg 3.60, 2 La 3.61
Y6 0.9137 0.5837 0.2525  6 Y 3.53-3.59, 3 Dy 3.54-3.56, 1 Mg 3.58, 2 La 3.60
Mg1 0.5000 0.5000 0.0000  6 La 3.57, 6 Y 3.58-3.60

Properties
The space-group type is No. 12. The magnetic moment comes out at 0.001 μB per formula unit. The formation energy from the elements is 0.020 eV/atom. Its total energy is -5.316 eV per atom.

Entry 9:
TbInSb2: optimized geometry, PBE-GGA.

Lattice parameters (Å, degrees): 7.4605 7.4605 7.4605 35.31 35.31 35.31
With the nearest neighbours (Å) after each atom.
Fractional coordinates of all 4 atoms:
Tb1 0.0000 0.0000 0.0000  6 Sb 3.08-3.14
In1 0.8317 0.8317 0.8317  6 Sb 3.13-3.23
Sb1 0.4165 0.4165 0.4165  3 In 3.13, 3 Tb 3.14
Sb2 0.5891 0.5891 0.5891  3 Tb 3.08, 3 In 3.23

Properties
The space-group type is No. 160. The calculation puts the energy relative to the elements, uncorrected at -0.353 eV/atom. The magnetic moment comes out at 0.000 μB per formula unit. Its total energy is -4.256 eV per atom. For the energy above the most stable polymorph in this dataset, the calculation gives 0.41 eV per formula unit.

Entry 10:
Ti2TlPd2: optimized geometry, PBE-GGA.

Lattice parameters (Å, degrees): 6.0981 6.0981 6.0981 138.56 138.56 60.05
With the nearest neighbours (Å) after each atom.
Fractional coordinates of all 5 atoms:
Ti1 0.2500 0.7500 0.5000  4 Pd 2.55
Ti2 0.7500 0.2500 0.5000  4 Pd 2.55
Tl1 0.0000 0.0000 0.0000  8 Pd 3.31, 8 Ti 3.41
Pd1 0.3779 0.3779 0.0000  4 Ti 2.55, 1 Pd 2.58
Pd2 0.6221 0.6221 0.0000  4 Ti 2.55, 1 Pd 2.58

Properties
The space-group type is No. 139. The magnetic moment comes out at 0.000 μB per formula unit. The formation energy from the elements is -0.157 eV/atom. Its total energy is -5.865 eV per atom.

Entry 11:
KGe2Pb2: optimized geometry, PBE-GGA.

Lattice parameters (Å, degrees): 6.9845 6.9845 6.9845 137.37 137.37 61.86
With the nearest neighbours (Å) after each atom.
Fractional coordinates of all 5 atoms:
K1 0.0000 0.0000 0.0000  8 Ge 3.81, 8 Pb 3.93
Ge1 0.3927 0.3927 0.0000  1 Ge 2.57
Ge2 0.6073 0.6073 0.0000  1 Ge 2.57
Pb1 0.2500 0.7500 0.5000  4 Ge 3.06
Pb2 0.7500 0.2500 0.5000  4 Ge 3.06

Properties
The space-group type is No. 139. The magnetic moment comes out at 0.000 μB per formula unit. The formation energy from the elements is -0.015 eV/atom. Its total energy is -3.565 eV per atom. For the energy above the most stable polymorph in this dataset, the calculation gives 0.00 eV per formula unit.

Entry 12:
BaTlAu2: optimized geometry, PBE-GGA.

Lattice parameters (Å, degrees): 3.9992 5.6205 5.6205 79.20 90.00 90.00
With the nearest neighbours (Å) after each atom.
Fractional coordinates of all 4 atoms:
Ba1 0.0000 0.0000 0.0000  8 Au 3.46-3.51
Tl1 0.5000 0.5819 0.5819  4 Au 2.82-2.90
Au1 0.5000 0.0928 0.4877  2 Tl 2.82-2.90, 1 Au 2.83
Au2 0.5000 0.4877 0.0928  2 Tl 2.82-2.90, 1 Au 2.83

Properties
The space-group type is No. 38. The magnetic moment comes out at 0.000 μB per formula unit. The formation energy from the elements is -0.412 eV/atom. Its total energy is -3.123 eV per atom.

Entry 13:
Co2MoRh: optimized geometry, PBE-GGA.

Lattice parameters (Å, degrees): 2.6396 4.0083 5.0240 90.00 105.14 90.00
With the nearest neighbours (Å) after each atom.
Fractional coordinates of all 4 atoms:
Co1 0.0000 0.0000 0.0000  2 Co 2.34, 1 Mo 2.55, 4 Rh 2.62
Co2 0.1242 0.5000 0.2510  2 Co 2.34, 3 Rh 2.59-2.62
Mo1 0.7357 0.0000 0.4751  7 Co 2.55-2.66, 2 Mo 2.64, 4 Rh 2.83
Rh1 0.3924 0.5000 0.7844  7 Co 2.59-2.62, 2 Rh 2.64, 4 Mo 2.83

Properties
The space-group type is No. 6. The magnetic moment comes out at 2.094 μB per formula unit. The formation energy from the elements is 0.040 eV/atom. Its total energy is -8.059 eV per atom. For the energy above the most stable polymorph in this dataset, the calculation gives 0.31 eV per formula unit.

Entry 14:
V8H: optimized geometry, PBE-GGA.

Lattice parameters (Å, degrees): 4.3105 5.2332 5.2439 69.14 87.73 87.88
With the nearest neighbours (Å) after each atom.
Fractional coordinates of all 9 atoms:
V1 0.2208 0.3616 0.3617  1 H 1.73
V2 0.2490 0.3738 0.8767  1 H 2.11
V3 0.2496 0.8760 0.3738  1 H 2.11
V4 0.2522 0.8747 0.8742  8 V 2.60-2.62
V5 0.7478 0.1253 0.1258  8 V 2.60-2.62
V6 0.7504 0.1240 0.6262  1 H 2.11
V7 0.7510 0.6262 0.1233  1 H 2.11
V8 0.7792 0.6384 0.6383  1 H 1.73
H1 0.5000 0.5000 0.5000  2 V 1.73

Properties
The space-group type is No. 2. The magnetic moment comes out at 0.000 μB per formula unit. Its total energy is -8.510 eV per atom.

Entry 15:
LaSm4Er3S8: optimized geometry, PBE-GGA.

Lattice parameters (Å, degrees): 7.9627 7.9627 7.9627 59.84 59.84 59.84
With the nearest neighbours (Å) after each atom.
Fractional coordinates of all 16 atoms:
La1 0.0000 0.0000 0.0000  6 S 2.85
Sm1 0.0000 0.0000 0.5000  6 S 2.87
Sm2 0.0000 0.5000 0.0000  6 S 2.87
Sm3 0.5000 0.0000 0.0000  6 S 2.87
Sm4 0.5000 0.5000 0.5000  6 S 2.78
Er1 0.0000 0.5000 0.5000  6 S 2.75-2.76
Er2 0.5000 0.0000 0.5000  6 S 2.75-2.76
Er3 0.5000 0.5000 0.0000  6 S 2.75-2.76
S1 0.2531 0.2531 0.7366  2 Er 2.75, 3 Sm 2.78-2.87, 1 La 2.85
S2 0.2531 0.7366 0.2531  2 Er 2.75, 3 Sm 2.78-2.87, 1 La 2.85
S3 0.2549 0.2549 0.2549  3 Er 2.76, 3 Sm 2.87
S4 0.2634 0.7469 0.7469  2 Er 2.75, 3 Sm 2.78-2.87, 1 La 2.85
S5 0.7366 0.2531 0.2531  2 Er 2.75, 3 Sm 2.78-2.87, 1 La 2.85
S6 0.7451 0.7451 0.7451  3 Er 2.76, 3 Sm 2.87
S7 0.7469 0.2634 0.7469  2 Er 2.75, 3 Sm 2.78-2.87, 1 La 2.85
S8 0.7469 0.7469 0.2634  2 Er 2.75, 3 Sm 2.78-2.87, 1 La 2.85

Properties
The space-group type is No. 166. The calculation puts the energy relative to the elements, uncorrected at -2.005 eV/atom. The magnetic moment comes out at 0.000 μB per formula unit. Its total energy is -6.412 eV per atom.

Entry 16:
ZrCr2TcSe: optimized geometry, PBE-GGA.

Lattice parameters (Å, degrees): 4.8970 4.8970 5.0387 90.00 90.00 90.00
With the nearest neighbours (Å) after each atom.
Fractional coordinates of all 5 atoms:
Zr1 0.0000 0.0000 0.0000  4 Cr 2.45, 2 Se 2.52
Cr1 0.0000 0.5000 0.0000  2 Zr 2.45
Cr2 0.5000 0.0000 0.0000  2 Zr 2.45
Tc1 0.5000 0.5000 0.5000  4 Se 3.46, 8 Cr 3.51
Se1 0.0000 0.0000 0.5000  2 Zr 2.52

Properties
The space-group type is No. 123. The calculation puts the energy relative to the elements, uncorrected at 1.712 eV/atom. The magnetic moment comes out at 11.138 μB per formula unit. Its total energy is -6.617 eV per atom.

Entry 17:
ErPbO: optimized geometry, PBE-GGA.

Lattice parameters (Å, degrees): 3.6779 3.6779 6.1451 90.00 90.00 120.00
With the nearest neighbours (Å) after each atom.
Fractional coordinates of all 3 atoms:
Er1 0.0000 0.0000 0.0000  3 O 2.12
Pb1 0.3333 0.6667 0.5000  6 Pb 3.68, 6 Er 3.73, 6 O 3.73
O1 0.6667 0.3333 0.0000  3 Er 2.12

Properties
The space-group type is No. 187. The calculation puts the energy relative to the elements, uncorrected at -1.824 eV/atom. The magnetic moment comes out at 0.393 μB per formula unit. Its total energy is -6.234 eV per atom. For the energy above the most stable polymorph in this dataset, the calculation gives 0.12 eV per formula unit.

Entry 18:
AlAs2HAu: optimized geometry, PBE-GGA.

Lattice parameters (Å, degrees): 5.0964 5.0964 3.1229 90.00 90.00 90.00
With the nearest neighbours (Å) after each atom.
Fractional coordinates of all 5 atoms:
Al1 0.0000 0.0000 0.0000  2 H 1.56
As1 0.0000 0.5000 0.0000  2 Al 2.55
As2 0.5000 0.0000 0.0000  2 Al 2.55
H1 0.0000 0.0000 0.5000  2 Al 1.56
Au1 0.5000 0.5000 0.5000  8 As 2.99, 2 Au 3.12

Properties
The space-group type is No. 123. The magnetic moment comes out at 0.000 μB per formula unit. Its total energy is -3.823 eV per atom.

Entry 19:
Be3GaSb: optimized geometry, PBE-GGA.

Lattice parameters (Å, degrees): 4.3468 4.3468 4.3468 90.00 90.00 90.00
With the nearest neighbours (Å) after each atom.
Fractional coordinates of all 5 atoms:
Be1 0.0000 0.0000 0.5000  2 Ga 2.17
Be2 0.0000 0.5000 0.0000  2 Ga 2.17
Be3 0.5000 0.0000 0.0000  2 Ga 2.17
Ga1 0.0000 0.0000 0.0000  6 Be 2.17
Sb1 0.5000 0.5000 0.5000  12 Be 3.07

Properties
The space-group type is No. 221. The calculation puts the energy relative to the elements, uncorrected at 0.827 eV/atom. The magnetic moment comes out at 0.000 μB per formula unit. Its total energy is -2.838 eV per atom. For the energy above the most stable polymorph in this dataset, the calculation gives 0.00 eV per formula unit.

Entry 20:
Mn2FeCo2: optimized geometry, PBE-GGA.

Lattice parameters (Å, degrees): 6.7178 6.7178 2.4864 90.00 90.00 90.00
With the nearest neighbours (Å) after each atom.
Fractional coordinates of all 10 atoms:
Mn1 0.1722 0.3278 0.0000  6 Co 2.30-2.37, 2 Mn 2.49
Mn2 0.3278 0.8278 0.0000  6 Co 2.30-2.37, 2 Mn 2.49
Mn3 0.6722 0.1722 0.0000  6 Co 2.30-2.37, 2 Mn 2.49
Mn4 0.8278 0.6722 0.0000  6 Co 2.30-2.37, 2 Mn 2.49
Fe1 0.0000 0.0000 0.5000  2 Fe 2.49, 4 Co 2.66, 8 Mn 2.78
Fe2 0.5000 0.5000 0.5000  2 Fe 2.49, 4 Co 2.66, 8 Mn 2.78
Co1 0.1247 0.6247 0.5000  6 Mn 2.30-2.37, 3 Co 2.37-2.49
Co2 0.3753 0.1247 0.5000  6 Mn 2.30-2.37, 3 Co 2.37-2.49
Co3 0.6247 0.8753 0.5000  6 Mn 2.30-2.37, 3 Co 2.37-2.49
Co4 0.8753 0.3753 0.5000  6 Mn 2.30-2.37, 3 Co 2.37-2.49

Properties
The space-group type is No. 127. The magnetic moment comes out at 0.859 μB per formula unit. The formation energy from the elements is 0.215 eV/atom. Its total energy is -7.988 eV per atom.